A geometry-optimized InTcSb2 structure. Source: Alexandria via LeMat-Bulk, functional GGA-PBE.

Cell lengths 10.164, 10.164, 10.164 Å; angles 18.89, 18.89, 18.89 degrees
Fractional positions:
In  0.750  0.750  0.750
Sb  0.981  0.981  0.981
Sb  0.519  0.519  0.519
Tc  0.250  0.250  0.250

**Raw total energy**: -21.0 eV per cell
**Space-group type**: R-3m

A geometry-optimized InTc2Sb2 structure. Source: Alexandria via LeMat-Bulk, functional GGA-PBE.

Cell lengths 7.668, 7.668, 3.300 Å; angles 90.00, 90.00, 90.00 degrees
Fractional positions:
Sb  0.148  0.648  0.500
Sb  0.648  0.852  0.500
Sb  0.852  0.352  0.500
Sb  0.352  0.148  0.500
Tc  0.353  0.853  0.000
Tc  0.853  0.647  0.000
Tc  0.647  0.147  0.000
Tc  0.147  0.353  0.000
In  0.000  0.000  0.000
In  0.500  0.500  0.000

**Raw total energy**: -61.4 eV per cell
**Space-group type**: P4/mbm

A geometry-optimized InTcSb2Te structure. Source: Alexandria via LeMat-Bulk, functional GGA-PBE.

Cell lengths 5.541, 5.541, 5.627 Å; angles 90.00, 90.00, 90.00 degrees
Last column: magnetic moment on the atom in μB.
Fractional positions:
Sb  0.000  0.500  0.000  -0.15
Sb  0.500  0.000  0.000  -0.15
Te  0.000  0.000  0.500  -0.04
Tc  0.500  0.500  0.500  3.69
In  0.000  0.000  0.000  0.01

**Raw total energy**: -17.3 eV per cell
**Space-group type**: P4/mmm

A geometry-optimized InTcSb2Te structure. Source: Alexandria via LeMat-Bulk, functional GGA-PBE.

Cell lengths 5.056, 5.056, 5.890 Å; angles 90.00, 90.00, 90.00 degrees
Fractional positions:
Sb  0.000  0.500  0.000
Sb  0.500  0.000  0.000
Te  0.000  0.000  0.500
Tc  0.000  0.000  0.000
In  0.500  0.500  0.500

**Raw total energy**: -22.6 eV per cell
**Space-group type**: P4/mmm

A geometry-optimized YIn2TcSb structure. Source: Alexandria via LeMat-Bulk, functional GGA-PBE.

Cell lengths 5.218, 5.271, 5.218 Å; angles 90.00, 90.00, 90.00 degrees
Last column: magnetic moment on the atom in μB.
Fractional positions:
Y  0.000  0.500  0.000  -0.02
Sb  0.500  0.500  0.500  0.21
Tc  0.000  0.000  0.000  0.57
In  0.000  0.000  0.500  0.00
In  0.500  0.000  0.000  0.01

**Raw total energy**: -25.3 eV per cell
**Space-group type**: P4/mmm

A geometry-optimized YIn2TcSb structure. Source: Alexandria via LeMat-Bulk, functional GGA-PBE.

Cell lengths 5.519, 4.950, 5.519 Å; angles 90.00, 90.00, 90.00 degrees
Last column: magnetic moment on the atom in μB.
Fractional positions:
Y  0.500  0.500  0.500  -0.10
Sb  0.000  0.000  0.000  -0.04
Tc  0.000  0.500  0.000  1.15
In  0.000  0.000  0.500  0.00
In  0.500  0.000  0.000  -0.01

**Raw total energy**: -22.4 eV per cell
**Space-group type**: P4/mmm

A geometry-optimized ZnIn2TcSb structure. Source: Alexandria via LeMat-Bulk, functional GGA-PBE.

Cell lengths 5.671, 5.082, 5.671 Å; angles 90.00, 90.00, 90.00 degrees
Last column: magnetic moment on the atom in μB.
Fractional positions:
Sb  0.000  0.000  0.000  0.02
Zn  0.000  0.500  0.000  -0.01
Tc  0.500  0.500  0.500  3.50
In  0.000  0.000  0.500  -0.03
In  0.500  0.000  0.000  -0.04

**Raw total energy**: -14.7 eV per cell
**Space-group type**: P4/mmm

A geometry-optimized InSbTe2 structure. Source: Alexandria via LeMat-Bulk, functional GGA-PBE.

Cell lengths 3.782, 5.414, 5.518 Å; angles 90.00, 90.00, 90.00 degrees
Fractional positions:
In  0.500  0.000  0.500
Sb  0.000  0.500  0.500
Te  0.000  0.000  0.000
Te  0.500  0.500  0.000

**Raw total energy**: -12.6 eV per cell
**Space-group type**: Pmmm